No. 1
Here is a relaxed K2PaTe4 crystal from the Alexandria database. Energies are from PBE.

## Properties
The crystal system is monoclinic. For the uncorrected formation energy, the calculation gives -0.816 eV/atom. Its energy relative to the lowest polymorph listed for this composition is 0.0 meV per atom. The value obtained for the total magnetization is 0.00 Bohr magnetons per cell.

abc: 4.6135 8.7740 8.3438
angles: 114.17 90.00 90.00
Fractional positions:
Te  0.0000  0.7083  0.9806
Pa  0.0000  0.0714  0.0715
Te  0.0000  0.4345  0.1623
K  0.5000  0.7575  0.3481
Te  0.5000  0.9937  0.8120
K  0.5000  0.3853  0.7948
Te  0.5000  0.1491  0.3309

No. 2
Here is a relaxed KPa4Te8 crystal from the Alexandria database. Energies are from PBE.

## Properties
The crystal system is cubic. For the uncorrected formation energy, the calculation gives -0.766 eV/atom. Its energy relative to the lowest polymorph listed for this composition is 47.8 meV per atom. The value obtained for the total magnetization is 5.02 Bohr magnetons per cell.

abc: 9.1937 9.1937 9.1937
angles: 60.00 60.00 60.00
Site moments in Bohr magnetons follow the coordinates.
Fractional positions:
Te  0.1753  0.6082  0.6082  -0.04
Te  0.6082  0.6082  0.6082  -0.04
Pa  0.8873  0.3709  0.3709  1.17
Pa  0.3709  0.3709  0.8873  1.17
Te  0.1325  0.1325  0.6026  -0.04
Pa  0.3709  0.8873  0.3709  1.17
Pa  0.3709  0.3709  0.3709  1.17
Te  0.6026  0.1325  0.1325  -0.04
K  0.7500  0.7500  0.7500  0.00
Te  0.6082  0.1753  0.6082  -0.04
Te  0.1325  0.6026  0.1325  -0.04
Te  0.6082  0.6082  0.1753  -0.04
Te  0.1325  0.1325  0.1325  -0.04

No. 3
Here is a relaxed K3ThPa2Te6 crystal from the Alexandria database. Energies are from PBE.

## Properties
The crystal system is monoclinic. For the uncorrected formation energy, the calculation gives -1.001 eV/atom. The value obtained for the total magnetization is 4.32 Bohr magnetons per cell.

abc: 7.6609 7.6609 8.8982
angles: 98.25 98.25 120.00
Site moments in Bohr magnetons follow the coordinates.
Fractional positions:
K  0.1647  0.8353  0.5000  0.00
Th  0.0000  0.0000  0.0000  0.29
K  0.5000  0.5000  0.5000  0.00
Te  0.0731  0.4099  0.2185  -0.02
Pa  0.3328  0.6672  0.0000  1.49
K  0.8353  0.1647  0.5000  0.00
Te  0.2649  0.2649  0.7827  -0.02
Te  0.4099  0.0731  0.2185  -0.02
Te  0.5901  0.9269  0.7815  -0.02
Te  0.9269  0.5901  0.7815  -0.02
Te  0.7351  0.7351  0.2173  -0.02
Pa  0.6672  0.3328  0.0000  1.49